No. 1
DFT (PBE-GGA) results for a relaxed Tl5H crystal.

Geometry as POSCAR:
```
Tl5H
1.0
5.900 0.000 0.000
0.000 3.395 0.000
0.000 -1.698 8.570
Tl H
5 1
direct
0.000 0.607 0.215
0.500 0.167 0.335
0.500 0.500 0.000
0.000 0.393 0.785
0.500 0.833 0.665
0.000 0.000 0.000
```

Calculated values
- Size of the total moment: 0.00 μB/f.u.
- Total energy: -14.010 eV/cell
- ρ: 9.9 g/cm³

No. 2
DFT (PBE-GGA) results for a relaxed CrTeAu2 crystal.

Geometry as POSCAR:
```
CrTeAu2
1.0
-4.962 1.780 1.883
-4.427 -3.381 -0.560
5.253 -0.355 1.903
Au Te Cr
2 1 1
direct
0.000 0.000 0.000
0.500 0.500 0.000
0.750 0.250 0.500
0.250 0.750 0.500
```

Calculated values
- Size of the total moment: 4.20 μB/f.u.
- Formation energy (no corrections): 16.4 kJ per mole of atoms
- Total energy: -18.639 eV/cell
- ρ: 12.0 g/cm³

No. 3
DFT (PBE-GGA) results for a relaxed Na8Hg2Pb crystal.

Geometry as POSCAR:
```
Na8Hg2Pb
1.0
5.190 0.000 0.000
0.000 8.087 -0.016
-2.595 -3.499 7.805
Na Hg Pb
8 2 1
direct
0.381 0.556 0.763
0.671 0.910 0.343
0.841 0.784 0.681
0.329 0.090 0.657
0.619 0.444 0.237
0.969 0.253 0.938
0.031 0.747 0.062
0.159 0.216 0.319
0.204 0.669 0.408
0.796 0.331 0.592
0.500 0.000 0.000
```

Calculated values
- Size of the total moment: 0.00 μB/f.u.
- Distance to the lowest polymorph of the same formula: 0 meV/atom
- Total energy: -16.452 eV/cell
- ρ: 4.0 g/cm³
- Formation enthalpy at 0 K: -0.1443 eV per atom

No. 4
DFT (PBE-GGA) results for a relaxed ScTc2Ge4 crystal.

Geometry as POSCAR:
```
ScTc2Ge4
1.0
-1.919 -4.299 1.245
-1.093 -0.863 -4.666
4.201 -5.367 -2.532
Ge Tc Sc
4 2 1
direct
0.786 0.786 0.427
0.000 0.500 0.000
0.214 0.214 0.573
0.500 0.000 0.000
0.596 0.596 0.808
0.404 0.404 0.192
0.000 0.000 0.000
```

Calculated values
- Size of the total moment: 2.16 μB/f.u.
- Total energy: -40.948 eV/cell
- ρ: 5.8 g/cm³
- Formation enthalpy at 0 K: 0.6550 eV per atom

No. 5
DFT (PBE-GGA) results for a relaxed K2RbCa crystal.

Geometry as POSCAR:
```
K2RbCa
1.0
4.423 0.000 0.000
2.211 3.830 0.000
2.211 1.277 15.311
Ca K Rb
1 2 1
direct
0.667 0.667 0.000
0.257 0.257 0.228
0.076 0.076 0.772
0.500 0.500 0.500
```

Calculated values
- Size of the total moment: 0.00 μB/f.u.
- Distance to the lowest polymorph of the same formula: 0 meV/atom
- Total energy: -4.672 eV/cell
- ρ: 1.3 g/cm³
- Formation enthalpy at 0 K: 0.1230 eV per atom

No. 6
DFT (PBE-GGA) results for a relaxed Sr3CSe crystal.

Geometry as POSCAR:
```
Sr3CSe
1.0
5.327 0.000 0.000
0.000 5.327 0.000
0.000 0.000 5.327
Sr C Se
3 1 1
direct
0.000 0.000 0.500
0.000 0.500 0.000
0.500 0.000 0.000
0.000 0.000 0.000
0.500 0.500 0.500
```

Calculated values
- Size of the total moment: 0.00 μB/f.u.
- Distance to the lowest polymorph of the same formula: 0 meV/atom
- Formation energy (no corrections): -34.0 kJ per mole of atoms
- Total energy: -19.514 eV/cell
- ρ: 3.9 g/cm³